Entry 1:
A geometry-optimized BaCd2Ni structure. Source: Alexandria via LeMat-Bulk, functional PBE-GGA.

a b c (Å): 6.182 6.182 3.272
angles (deg): 90.00 90.00 123.55
Atoms (fractional coordinates):
Ni 0.500 0.000 0.500
Cd 0.000 0.000 0.000
Ba 0.000 0.500 0.500
Cd 0.500 0.500 0.000

Computed properties:
**Calculated total energy**: -2.018 eV/atom
**SG**: Cmmm


Entry 2:
A geometry-optimized Ba2CdNi structure. Source: Alexandria via LeMat-Bulk, functional PBE-GGA.

a b c (Å): 3.833 3.833 9.368
angles (deg): 90.00 90.00 90.01
Atoms (fractional coordinates):
Ba 0.500 0.500 0.336
Ni 0.500 0.500 0.677
Cd 0.000 0.000 0.574
Ba 0.000 0.000 0.913

Computed properties:
**Calculated total energy**: -2.548 eV/atom
**SG**: P4mm


Entry 3:
A geometry-optimized BaCd2Ni structure. Source: Alexandria via LeMat-Bulk, functional PBE-GGA.

a b c (Å): 5.315 5.315 5.315
angles (deg): 60.00 60.00 60.00
Atoms (fractional coordinates):
Cd 0.750 0.750 0.750
Ba 0.500 0.500 0.500
Ni 0.000 0.000 0.000
Cd 0.250 0.250 0.250

Computed properties:
**Calculated total energy**: -2.179 eV/atom
**SG**: Fm-3m


Entry 4:
A geometry-optimized BaCd3Ni structure. Source: Alexandria via LeMat-Bulk, functional PBE-GGA.

a b c (Å): 6.655 6.655 6.655
angles (deg): 90.00 90.00 90.00
Site moments in Bohr magnetons follow the coordinates.
Atoms (fractional coordinates):
Cd 0.000 0.000 0.500  0.00
Cd 0.000 0.500 0.000  0.00
Cd 0.500 0.000 0.000  0.00
Ba 0.000 0.000 0.000  -0.01
Ni 0.500 0.500 0.500  0.06

Computed properties:
**SG**: Pm-3m
**Excess energy over the best structure of this formula in the dataset**: 1437 meV/atom


no.,spin magnetization (μB/cell)
1,0.001
2,0.000
3,0.000
4,0.003